(1)
KZn2Sb2Pb (PBE, relaxed); SG = P-3m1; total energy = -2.7298 eV/atom
1.0
4.917 0.000 0.000
-2.458 4.258 0.000
0.000 0.000 8.402
K Zn Sb Pb
1 2 2 1
direct
0.000 0.000 0.000
0.333 0.667 0.671
0.667 0.333 0.329
0.333 0.667 0.287
0.667 0.333 0.713
0.000 0.000 0.500

(2)
Pa2TeAu (PBE, relaxed); SG = P4/mmm; total energy = -6.7390 eV/atom
1.0
3.499 0.000 0.000
0.000 3.499 0.000
0.000 0.000 7.926
Te Pa Au
1 2 1
direct
0.500 0.500 0.500
0.000 0.000 0.753
0.000 0.000 0.247
0.500 0.500 0.000

(3)
BeSiTe (PBE, relaxed); SG = F-43m; total energy = -3.5081 eV/atom
1.0
-2.348 -3.676 0.203
1.930 -3.862 -0.651
0.547 -2.758 3.340
Be Si Te
1 1 1
direct
0.750 0.750 0.750
0.000 0.000 0.000
0.500 0.500 0.500

(4)
PmPuAs2O8 (PBE, relaxed); SG = P-3m1; total energy = -7.7237 eV/atom
1.0
5.591 0.000 0.000
-2.796 4.842 0.000
0.000 0.000 7.245
Pm Pu As O
1 1 2 8
direct
0.000 0.000 0.500
0.000 0.000 0.000
0.667 0.333 0.186
0.333 0.667 0.814
0.333 0.667 0.046
0.331 0.166 0.268
0.834 0.165 0.268
0.667 0.333 0.954
0.166 0.835 0.732
0.669 0.834 0.732
0.165 0.331 0.732
0.835 0.669 0.268

(5)
YZn2H2 (PBE, relaxed); SG = P4/mbm; total energy = -3.3148 eV/atom
1.0
-3.789 3.586 -2.500
-4.350 -2.765 2.626
0.318 2.638 3.303
Y H Zn
2 4 4
direct
0.000 0.000 0.000
0.500 0.500 0.000
0.165 0.665 0.000
0.665 0.835 0.000
0.835 0.335 0.000
0.335 0.165 0.000
0.169 0.669 0.500
0.669 0.831 0.500
0.831 0.331 0.500
0.331 0.169 0.500

(6)
La2Sb2F (PBE, relaxed); SG = P4/mbm; total energy = -5.6791 eV/atom
1.0
-2.480 -7.226 0.632
1.895 -0.001 7.428
-4.385 1.603 1.119
Sb F La
4 2 4
direct
0.130 0.630 0.500
0.630 0.870 0.500
0.870 0.370 0.500
0.370 0.130 0.500
0.000 0.000 0.000
0.500 0.500 0.000
0.319 0.819 0.000
0.819 0.681 0.000
0.681 0.181 0.000
0.181 0.319 0.000

> Which value of total energy does entry 5 give?

-3.3148 eV/atom